Entry 1:
Below is a geometry-optimized SrScTc structure, with properties calculated at the PBE level.

abc: 3.510 3.510 12.233
angles: 90.00 90.00 90.00
Fractional coordinates of all 6 atoms:
Sr1 0.000 0.000 0.000
Sr2 0.500 0.500 0.500
Sc1 0.000 0.000 0.731
Sc2 0.500 0.500 0.231
Tc1 0.000 0.000 0.320
Tc2 0.500 0.500 0.820

Values from the calculation:
M_tot = 0.0 μB per formula unit
raw total energy = -34.92 eV/cell
formation enthalpy at 0 K = 0.3061 eV per atom
offset from the most stable computed form = 0.0 kJ/mol of formula units
calculated density = 5.1 g/cm³

Entry 2:
Below is a geometry-optimized Sr3ScTc structure, with properties calculated at the PBE level.

abc: 5.878 5.878 5.878
angles: 90.00 90.00 90.00
Fractional coordinates of all 5 atoms:
Sr1 0.000 0.000 0.500
Sr2 0.000 0.500 0.000
Sr3 0.500 0.000 0.000
Sc1 0.000 0.000 0.000
Tc1 0.500 0.500 0.500

Values from the calculation:
M_tot = 2.7 μB per formula unit
raw total energy = -12.78 eV/cell
formation enthalpy at 0 K = 1.7926 eV per atom
offset from the most stable computed form = 466.6 kJ/mol of formula units
calculated density = 3.3 g/cm³

Entry 3:
Below is a geometry-optimized SrScTc2 structure, with properties calculated at the PBE level.

abc: 6.216 9.393 2.710
angles: 90.00 90.00 90.00
Fractional coordinates of all 8 atoms:
Sr1 0.000 0.000 0.000
Sr2 0.500 0.500 0.000
Sc1 0.000 0.500 0.000
Sc2 0.500 0.000 0.000
Tc1 0.250 0.250 0.500
Tc2 0.250 0.750 0.500
Tc3 0.750 0.250 0.500
Tc4 0.750 0.750 0.500

Values from the calculation:
M_tot = 0.2 μB per formula unit
raw total energy = -51.16 eV/cell
formation enthalpy at 0 K = 0.7916 eV per atom
offset from the most stable computed form = 224.9 kJ/mol of formula units
calculated density = 6.9 g/cm³

Entry 4:
Below is a geometry-optimized SrScTc2 structure, with properties calculated at the PBE level.

abc: 3.171 4.046 7.493
angles: 90.00 99.18 90.00
Fractional coordinates of all 4 atoms:
Sr1 0.000 0.000 0.000
Sc1 0.363 0.500 0.611
Tc1 0.537 0.500 0.297
Tc2 0.887 0.000 0.417

Values from the calculation:
M_tot = 0.0 μB per formula unit
raw total energy = -27.51 eV/cell
formation enthalpy at 0 K = 0.3091 eV per atom
offset from the most stable computed form = 38.6 kJ/mol of formula units
calculated density = 5.7 g/cm³